Arrangement A

# SrAl2Cl8 | Alexandria | PBE-GGA | optimized geometry
# Size of the total moment ... 0.0 μB/f.u.
data_SrAl2Cl8
_space_group_name_H-M_alt 'P 1 2/c 1'
_space_group_IT_number 13
_space_group_name_Hall '-P 2yc'
_cell_length_a 7.972
_cell_length_b 7.055
_cell_length_c 12.736
_cell_angle_alpha 90.00
_cell_angle_beta 94.73
_cell_angle_gamma 90.00
loop_
_atom_site_label
_atom_site_type_symbol
_atom_site_fract_x
_atom_site_fract_y
_atom_site_fract_z
_atom_site_occupancy
Sr1 Sr 0.000 0.151 0.250 1
Al1 Al 0.178 0.266 0.924 1
Cl1 Cl 0.083 0.186 0.610 1
Cl2 Cl 0.231 0.463 0.354 1
Cl3 Cl 0.242 0.293 0.091 1
Cl4 Cl 0.318 0.040 0.857 1

Arrangement B

# SrAl2Cl8 | Alexandria | PBE-GGA | optimized geometry
# Size of the total moment ... 0.2 μB/f.u.
data_SrAl2Cl8
_space_group_name_H-M_alt 'C 1 2/m 1'
_space_group_IT_number 12
_space_group_name_Hall '-C 2y'
_cell_length_a 13.421
_cell_length_b 8.819
_cell_length_c 6.660
_cell_angle_alpha 90.00
_cell_angle_beta 101.03
_cell_angle_gamma 90.00
loop_
_atom_site_label
_atom_site_type_symbol
_atom_site_fract_x
_atom_site_fract_y
_atom_site_fract_z
_atom_site_occupancy
Sr1 Sr 0.000 0.000 0.000 1
Al1 Al 0.197 0.000 0.668 1
Cl1 Cl 0.116 0.193 0.765 1
Cl2 Cl 0.146 0.500 0.205 1
Cl3 Cl 0.178 0.000 0.335 1

Quick one: most stable of them? arrangement A

Arrangement A

# SrAl3Cl | Alexandria | PBE-GGA | optimized geometry
# Size of the total moment ... 0.0 μB/f.u.
data_SrAl3Cl
_space_group_name_H-M_alt 'P m -3 m'
_space_group_IT_number 221
_space_group_name_Hall '-P 4 2 3'
_cell_length_a 5.197
_cell_length_b 5.197
_cell_length_c 5.197
_cell_angle_alpha 90.00
_cell_angle_beta 90.00
_cell_angle_gamma 90.00
loop_
_atom_site_label
_atom_site_type_symbol
_atom_site_fract_x
_atom_site_fract_y
_atom_site_fract_z
_atom_site_occupancy
Sr1 Sr 0.000 0.000 0.000 1
Al1 Al 0.000 0.500 0.500 1
Cl1 Cl 0.500 0.500 0.500 1

Arrangement B

# SrAl3Cl | Alexandria | PBE-GGA | optimized geometry
# Size of the total moment ... 1.9 μB/f.u.
data_SrAl3Cl
_space_group_name_H-M_alt 'P m -3 m'
_space_group_IT_number 221
_space_group_name_Hall '-P 4 2 3'
_cell_length_a 6.300
_cell_length_b 6.300
_cell_length_c 6.300
_cell_angle_alpha 90.00
_cell_angle_beta 90.00
_cell_angle_gamma 90.00
loop_
_atom_site_label
_atom_site_type_symbol
_atom_site_fract_x
_atom_site_fract_y
_atom_site_fract_z
_atom_site_occupancy
Sr1 Sr 0.000 0.000 0.000 1
Al1 Al 0.000 0.000 0.500 1
Cl1 Cl 0.500 0.500 0.500 1

Quick one: most stable of them? arrangement A

Arrangement A

# TaAlCl2 | Alexandria | PBE-GGA | optimized geometry
# Size of the total moment ... 0.0 μB/f.u.
data_TaAlCl2
_space_group_name_H-M_alt 'F m -3 m'
_space_group_IT_number 225
_space_group_name_Hall '-F 4 2 3'
_cell_length_a 6.484
_cell_length_b 6.484
_cell_length_c 6.484
_cell_angle_alpha 90.00
_cell_angle_beta 90.00
_cell_angle_gamma 90.00
loop_
_atom_site_label
_atom_site_type_symbol
_atom_site_fract_x
_atom_site_fract_y
_atom_site_fract_z
_atom_site_occupancy
Ta1 Ta 0.000 0.000 0.000 1
Al1 Al 0.000 0.000 0.500 1
Cl1 Cl 0.250 0.250 0.250 1

Arrangement B

# TaAlCl2 | Alexandria | PBE-GGA | optimized geometry
# Size of the total moment ... 0.0 μB/f.u.
data_TaAlCl2
_space_group_name_H-M_alt 'P 4 m m'
_space_group_IT_number 99
_space_group_name_Hall 'P 4 -2'
_cell_length_a 3.008
_cell_length_b 3.008
_cell_length_c 8.859
_cell_angle_alpha 90.00
_cell_angle_beta 90.00
_cell_angle_gamma 90.00
loop_
_atom_site_label
_atom_site_type_symbol
_atom_site_fract_x
_atom_site_fract_y
_atom_site_fract_z
_atom_site_occupancy
Ta1 Ta 0.000 0.000 0.000 1
Al1 Al 0.500 0.500 0.220 1
Cl1 Cl 0.000 0.000 0.414 1
Cl2 Cl 0.500 0.500 0.815 1

Arrangement C

# TaAlCl2 | Alexandria | PBE-GGA | optimized geometry
# Size of the total moment ... 0.0 μB/f.u.
data_TaAlCl2
_space_group_name_H-M_alt 'R -3 m'
_space_group_IT_number 166
_space_group_name_Hall '-R 3 2"'
_cell_length_a 3.1133
_cell_length_b 3.1133
_cell_length_c 28.7736
_cell_angle_alpha 90.00
_cell_angle_beta 90.00
_cell_angle_gamma 120.00
loop_
_atom_site_label
_atom_site_type_symbol
_atom_site_fract_x
_atom_site_fract_y
_atom_site_fract_z
_atom_site_occupancy
Ta1 Ta 0.0000 0.0000 0.0000 1
Al1 Al 0.0000 0.0000 0.5000 1
Cl1 Cl 0.0000 0.0000 0.3969 1

Arrangement D

# TaAlCl2 | Alexandria | PBE-GGA | optimized geometry
# Size of the total moment ... 0.0 μB/f.u.
data_TaAlCl2
_space_group_name_H-M_alt 'A m m 2'
_space_group_IT_number 38
_space_group_name_Hall 'A 2 -2'
_cell_length_a 5.017
_cell_length_b 3.067
_cell_length_c 9.363
_cell_angle_alpha 90.00
_cell_angle_beta 90.00
_cell_angle_gamma 90.00
loop_
_atom_site_label
_atom_site_type_symbol
_atom_site_fract_x
_atom_site_fract_y
_atom_site_fract_z
_atom_site_occupancy
Ta1 Ta 0.000 0.000 0.000 1
Al1 Al 0.500 0.000 0.413 1
Cl1 Cl 0.000 0.000 0.712 1
Cl2 Cl 0.500 0.000 0.161 1

Quick one: most stable of them? arrangement B

Arrangement A

# TaAlCl2 | Alexandria | PBE-GGA | optimized geometry
# Size of the total moment ... 0.0 μB/f.u.
data_TaAlCl2
_space_group_name_H-M_alt 'R 3 m'
_space_group_IT_number 160
_space_group_name_Hall 'R 3 -2"'
_cell_length_a 3.1521
_cell_length_b 3.1521
_cell_length_c 28.5055
_cell_angle_alpha 90.00
_cell_angle_beta 90.00
_cell_angle_gamma 120.00
loop_
_atom_site_label
_atom_site_type_symbol
_atom_site_fract_x
_atom_site_fract_y
_atom_site_fract_z
_atom_site_occupancy
Ta1 Ta 0.0000 0.0000 0.0000 1
Al1 Al 0.0000 0.0000 0.2582 1
Cl1 Cl 0.0000 0.0000 0.5323 1
Cl2 Cl 0.0000 0.0000 0.7278 1

Arrangement B

# TaAlCl2 | Alexandria | PBE-GGA | optimized geometry
# Size of the total moment ... 0.6 μB/f.u.
data_TaAlCl2
_space_group_name_H-M_alt 'I m m m'
_space_group_IT_number 71
_space_group_name_Hall '-I 2 2'
_cell_length_a 2.996
_cell_length_b 4.947
_cell_length_c 14.024
_cell_angle_alpha 90.00
_cell_angle_beta 90.00
_cell_angle_gamma 90.00
loop_
_atom_site_label
_atom_site_type_symbol
_atom_site_fract_x
_atom_site_fract_y
_atom_site_fract_z
_atom_site_occupancy
Ta1 Ta 0.000 0.000 0.000 1
Al1 Al 0.000 0.000 0.500 1
Cl1 Cl 0.000 0.500 0.354 1

Arrangement C

# TaAlCl2 | Alexandria | PBE-GGA | optimized geometry
# Size of the total moment ... 0.0 μB/f.u.
data_TaAlCl2
_space_group_name_H-M_alt 'C 1 m 1'
_space_group_IT_number 8
_space_group_name_Hall 'C -2y'
_cell_length_a 9.924
_cell_length_b 3.008
_cell_length_c 7.335
_cell_angle_alpha 90.00
_cell_angle_beta 102.50
_cell_angle_gamma 90.00
loop_
_atom_site_label
_atom_site_type_symbol
_atom_site_fract_x
_atom_site_fract_y
_atom_site_fract_z
_atom_site_occupancy
Ta1 Ta 0.000 0.000 0.000 1
Al1 Al 0.255 0.000 0.911 1
Cl1 Cl 0.094 0.500 0.262 1
Cl2 Cl 0.407 0.000 0.702 1

Arrangement D

# TaAlCl2 | Alexandria | PBE-GGA | optimized geometry
# Size of the total moment ... 3.5 μB/f.u.
data_TaAlCl2
_space_group_name_H-M_alt 'F -4 3 m'
_space_group_IT_number 216
_space_group_name_Hall 'F -4 2 3'
_cell_length_a 6.850
_cell_length_b 6.850
_cell_length_c 6.850
_cell_angle_alpha 90.00
_cell_angle_beta 90.00
_cell_angle_gamma 90.00
loop_
_atom_site_label
_atom_site_type_symbol
_atom_site_fract_x
_atom_site_fract_y
_atom_site_fract_z
_atom_site_occupancy
Ta1 Ta 0.000 0.000 0.000 1
Al1 Al 0.250 0.250 0.250 1
Cl1 Cl 0.000 0.000 0.500 1
Cl2 Cl 0.250 0.250 0.750 1

Quick one: most stable of them? arrangement A

Arrangement A

# TaAlCl | Alexandria | PBE-GGA | optimized geometry
# Size of the total moment ... 0.0 μB/f.u.
data_TaAlCl
_space_group_name_H-M_alt 'F m m 2'
_space_group_IT_number 42
_space_group_name_Hall 'F 2 -2'
_cell_length_a 2.906
_cell_length_b 5.466
_cell_length_c 17.460
_cell_angle_alpha 90.00
_cell_angle_beta 90.00
_cell_angle_gamma 90.00
loop_
_atom_site_label
_atom_site_type_symbol
_atom_site_fract_x
_atom_site_fract_y
_atom_site_fract_z
_atom_site_occupancy
Ta1 Ta 0.000 0.000 0.000 1
Al1 Al 0.000 0.000 0.636 1
Cl1 Cl 0.000 0.000 0.386 1

Arrangement B

# TaAlCl | Alexandria | PBE-GGA | optimized geometry
# Size of the total moment ... 0.8 μB/f.u.
data_TaAlCl
_space_group_name_H-M_alt 'I 4 m m'
_space_group_IT_number 107
_space_group_name_Hall 'I 4 -2'
_cell_length_a 2.945
_cell_length_b 2.945
_cell_length_c 14.464
_cell_angle_alpha 90.00
_cell_angle_beta 90.00
_cell_angle_gamma 90.00
loop_
_atom_site_label
_atom_site_type_symbol
_atom_site_fract_x
_atom_site_fract_y
_atom_site_fract_z
_atom_site_occupancy
Ta1 Ta 0.000 0.000 0.000 1
Al1 Al 0.000 0.000 0.367 1
Cl1 Cl 0.000 0.000 0.618 1

Quick one: most stable of them? arrangement A